# 1
DFT (PBE-GGA) results for a relaxed BaSc3C crystal.

## Properties
* crystal system: cubic
* formation energy: 2516 meV per atom
* energy above the most stable polymorph in this dataset: 2.3450 eV per atom
* raw total energy: -17.56 eV for the cell shown

Lattice parameters (Å, degrees): 5.231 5.231 5.231 90.00 90.00 90.00
Space group Pm-3m (No. 221)
Symmetry-distinct sites (fractional):
Ba: 0.000 0.000 0.000 [1 per cell]
Sc: 0.000 0.000 0.500 [3 per cell]
C: 0.500 0.500 0.500 [1 per cell]

=====

# 2
DFT (PBE-GGA) results for a relaxed BaSc3C crystal.

## Properties
* crystal system: cubic
* formation energy: 171 meV per atom
* energy above the most stable polymorph in this dataset: 0.0000 eV per atom
* raw total energy: -29.29 eV for the cell shown

Lattice parameters (Å, degrees): 4.833 4.833 4.833 90.00 90.00 90.00
Space group Pm-3m (No. 221)
Symmetry-distinct sites (fractional):
Ba: 0.000 0.000 0.000 [1 per cell]
Sc: 0.000 0.500 0.500 [3 per cell]
C: 0.500 0.500 0.500 [1 per cell]

=====

# 3
DFT (PBE-GGA) results for a relaxed BaScC3 crystal.

## Properties
* crystal system: cubic
* formation energy: 2966 meV per atom
* energy above the most stable polymorph in this dataset: 1.5422 eV per atom
* raw total energy: -21.09 eV for the cell shown

Lattice parameters (Å, degrees): 4.558 4.558 4.558 90.00 90.00 90.00
Space group Pm-3m (No. 221)
Symmetry-distinct sites (fractional):
Ba: 0.000 0.000 0.000 [1 per cell]
Sc: 0.500 0.500 0.500 [1 per cell]
C: 0.000 0.000 0.500 [3 per cell]

=====

# 4
DFT (PBE-GGA) results for a relaxed BaScC3 crystal.

## Properties
* crystal system: cubic
* formation energy: 1424 meV per atom
* energy above the most stable polymorph in this dataset: 0.0000 eV per atom
* raw total energy: -28.81 eV for the cell shown

Lattice parameters (Å, degrees): 4.423 4.423 4.423 90.00 90.00 90.00
Space group Pm-3m (No. 221)
Symmetry-distinct sites (fractional):
Ba: 0.000 0.000 0.000 [1 per cell]
Sc: 0.500 0.500 0.500 [1 per cell]
C: 0.000 0.500 0.500 [3 per cell]

=====

# 5
DFT (PBE-GGA) results for a relaxed Ba2YScC crystal.

## Properties
* crystal system: tetragonal
* formation energy: 1959 meV per atom
* raw total energy: -16.07 eV for the cell shown

Lattice parameters (Å, degrees): 6.575 6.575 5.314 90.00 90.00 90.00
Space group P4/mmm (No. 123)
Symmetry-distinct sites (fractional):
Ba: 0.000 0.500 0.000 [2 per cell]
Y: 0.000 0.000 0.000 [1 per cell]
Sc: 0.000 0.000 0.500 [1 per cell]
C: 0.500 0.500 0.500 [1 per cell]

=====

# 6
DFT (PBE-GGA) results for a relaxed Ba3CSe crystal.

## Properties
* crystal system: cubic
* raw total energy: -19.51 eV for the cell shown
* ΔE_f (raw): -206 meV per atom

Lattice parameters (Å, degrees): 5.638 5.638 5.638 90.00 90.00 90.00
Space group Pm-3m (No. 221)
Symmetry-distinct sites (fractional):
Ba: 0.000 0.000 0.500 [3 per cell]
C: 0.000 0.000 0.000 [1 per cell]
Se: 0.500 0.500 0.500 [1 per cell]

=====

# 7
DFT (PBE-GGA) results for a relaxed BaC2Se crystal.

## Properties
* crystal system: tetragonal
* raw total energy: -77.19 eV for the cell shown
* ΔE_f (raw): 1139 meV per atom

Lattice parameters (Å, degrees): 6.278 6.278 7.275 90.00 90.00 90.00
Space group I-42d (No. 122)
Symmetry-distinct sites (fractional):
Ba: 0.000 0.000 0.000 [4 per cell]
C: 0.137 0.250 0.625 [8 per cell]
Se: 0.000 0.000 0.500 [4 per cell]

=====

# 8
DFT (PBE-GGA) results for a relaxed Ba2CSe crystal.

## Properties
* crystal system: tetragonal
* energy above the most stable polymorph in this dataset: 0.0000 eV per atom
* raw total energy: -68.46 eV for the cell shown
* ΔE_f (raw): -140 meV per atom

Lattice parameters (Å, degrees): 7.882 7.882 9.033 90.00 90.00 90.00
Space group I-42d (No. 122)
Symmetry-distinct sites (fractional):
Ba: 0.210 0.250 0.125 [8 per cell]
C: 0.000 0.000 0.000 [4 per cell]
Se: 0.000 0.000 0.500 [4 per cell]

=====

# 9
DFT (PBE-GGA) results for a relaxed Ba2CSe crystal.

## Properties
* crystal system: cubic
* energy above the most stable polymorph in this dataset: 0.1148 eV per atom
* raw total energy: -66.62 eV for the cell shown
* ΔE_f (raw): -25 meV per atom

Lattice parameters (Å, degrees): 7.709 7.709 7.709 90.00 90.00 90.00
Space group Fm-3m (No. 225)
Symmetry-distinct sites (fractional):
Ba: 0.250 0.250 0.250 [8 per cell]
C: 0.000 0.000 0.000 [4 per cell]
Se: 0.000 0.000 0.500 [4 per cell]

=====

# 10
DFT (PBE-GGA) results for a relaxed Ba2TeCSe crystal.

## Properties
* crystal system: tetragonal
* raw total energy: -22.08 eV for the cell shown
* ΔE_f (raw): -477 meV per atom

Lattice parameters (Å, degrees): 5.890 5.890 4.402 90.00 90.00 90.00
Space group P4/mmm (No. 123)
Symmetry-distinct sites (fractional):
Ba: 0.000 0.500 0.000 [2 per cell]
Te: 0.000 0.000 0.500 [1 per cell]
C: 0.000 0.000 0.000 [1 per cell]
Se: 0.500 0.500 0.500 [1 per cell]

=====

# 11
DFT (PBE-GGA) results for a relaxed BaTiC2Se crystal.

## Properties
* crystal system: tetragonal
* raw total energy: -29.64 eV for the cell shown
* ΔE_f (raw): 421 meV per atom

Lattice parameters (Å, degrees): 4.341 4.341 5.108 90.00 90.00 90.00
Space group P4/mmm (No. 123)
Symmetry-distinct sites (fractional):
Ba: 0.000 0.000 0.000 [1 per cell]
Ti: 0.500 0.500 0.500 [1 per cell]
C: 0.000 0.500 0.500 [2 per cell]
Se: 0.500 0.500 0.000 [1 per cell]

=====

# 12
DFT (PBE-GGA) results for a relaxed BaSiC3 crystal.

## Properties
* crystal system: cubic
* energy above the most stable polymorph in this dataset: 2.3144 eV per atom
* raw total energy: -16.03 eV for the cell shown
* ΔE_f (raw): 3797 meV per atom

Lattice parameters (Å, degrees): 4.739 4.739 4.739 90.00 90.00 90.00
Space group Pm-3m (No. 221)
Symmetry-distinct sites (fractional):
Ba: 0.000 0.000 0.000 [1 per cell]
Si: 0.500 0.500 0.500 [1 per cell]
C: 0.000 0.000 0.500 [3 per cell]